## Cu2NiPt (PBEsol)

Data for a relaxed structure of Cu2NiPt.

Cell: 2.6875 4.2529 4.9199 Å, 115.61 105.85 90.00°
Last column: nearest neighbours and their distance in Å.
Atoms (fractional coordinates):
Ni (0.5000, 0.0000, 0.0000)  4 Cu 2.43, 4 Pt 2.52, 2 Ni 2.69
Cu (0.7611, 0.7611, 0.5223)  2 Ni 2.43, 6 Cu 2.52-2.69, 2 Pt 2.58
Cu (0.2389, 0.2389, 0.4777)  2 Ni 2.43, 6 Cu 2.52-2.69, 2 Pt 2.58
Pt (0.0000, 0.5000, 0.0000)  4 Ni 2.52, 4 Cu 2.58, 2 Pt 2.69

Calculated values
- spin magnetization (Bohr magnetons per cell) = 0.00
- final energy (Ry/atom) = -0.40402
- formation energy from the elements (eV/atom) = -0.050
- ρ (g/cm³) = 13.09

***

## Cu2NiPt (PBEsol)

Data for a relaxed structure of Cu2NiPt.

Cell: 2.6271 3.5474 5.1905 Å, 90.00 90.00 90.00°
Last column: nearest neighbours and their distance in Å.
Atoms (fractional coordinates):
Ni (0.0000, 0.0000, 0.4921)  6 Cu 2.49-2.70, 4 Pt 2.57, 2 Ni 2.63
Cu (0.0000, 0.0000, 0.0131)  2 Ni 2.49-2.70, 6 Cu 2.53-2.63, 4 Pt 2.61
Cu (0.5000, 0.5000, 0.2498)  6 Cu 2.53-2.63, 4 Ni 2.54, 2 Pt 2.57-2.62
Pt (0.5000, 0.5000, 0.7451)  4 Ni 2.57, 6 Cu 2.57-2.62, 2 Pt 2.63

Calculated values
- spin magnetization (Bohr magnetons per cell) = 0.26
- final energy (Ry/atom) = -0.40393
- formation energy from the elements (eV/atom) = -0.048
- ρ (g/cm³) = 13.07

***

## CuNiPt (PBEsol)

Data for a relaxed structure of CuNiPt.

Cell: 2.6773 2.6773 5.4942 Å, 104.10 104.10 90.00°
Last column: nearest neighbours and their distance in Å.
Atoms (fractional coordinates):
Ni (0.6615, 0.6615, 0.3229)  4 Cu 2.47, 4 Pt 2.58, 4 Ni 2.68
Pt (0.3309, 0.3309, 0.6619)  4 Ni 2.58, 4 Cu 2.63, 4 Pt 2.68
Cu (0.0076, 0.0076, 0.0152)  4 Ni 2.47, 4 Pt 2.63, 4 Cu 2.68

Calculated values
- spin magnetization (Bohr magnetons per cell) = 0.61
- E above lowest polymorph (meV per atom) = 15.5
- final energy (Ry/atom) = -0.43024
- formation energy from the elements (eV/atom) = -0.035
- ρ (g/cm³) = 14.25

***

## CuNiPt2 (PBEsol)

Data for a relaxed structure of CuNiPt2.

Cell: 3.7161 3.7161 4.6087 Å, 113.78 113.78 90.00°
Last column: nearest neighbours and their distance in Å.
Atoms (fractional coordinates):
Ni (0.2500, 0.7500, 0.5000)  8 Pt 2.63-2.65, 4 Cu 2.65
Cu (0.5000, 0.5000, 0.0000)  8 Pt 2.63-2.65, 4 Ni 2.65
Pt (0.0000, 0.0000, 0.0000)  4 Cu 2.63, 4 Ni 2.65, 4 Pt 2.65
Pt (0.7500, 0.2500, 0.5000)  4 Ni 2.63, 4 Cu 2.65, 4 Pt 2.65

Calculated values
- spin magnetization (Bohr magnetons per cell) = 1.03
- final energy (Ry/atom) = -0.45348
- formation energy from the elements (eV/atom) = -0.065
- ρ (g/cm³) = 16.27

***

## CuNi2Pt (PBEsol)

Data for a relaxed structure of CuNi2Pt.

Cell: 3.6281 3.6281 4.4168 Å, 114.25 114.25 90.00°
Last column: nearest neighbours and their distance in Å.
Atoms (fractional coordinates):
Ni (0.2500, 0.7500, 0.5000)  4 Cu 2.55, 4 Pt 2.55, 4 Ni 2.57
Ni (0.7500, 0.2500, 0.5000)  4 Pt 2.55, 4 Cu 2.55, 4 Ni 2.57
Cu (0.0000, 0.0000, 0.0000)  8 Ni 2.55, 4 Pt 2.57
Pt (0.5000, 0.5000, 0.0000)  8 Ni 2.55, 4 Cu 2.57

Calculated values
- spin magnetization (Bohr magnetons per cell) = 1.34
- final energy (Ry/atom) = -0.43793
- formation energy from the elements (eV/atom) = -0.055
- ρ (g/cm³) = 13.19

***

## CuNiPt2 (PBEsol)

Data for a relaxed structure of CuNiPt2.

Cell: 2.6810 2.6810 8.6094 Å, 81.04 81.04 60.00°
Last column: nearest neighbours and their distance in Å.
Atoms (fractional coordinates):
Ni (0.0000, 0.0000, 0.0000)  6 Pt 2.60, 6 Ni 2.68
Cu (0.5000, 0.5000, 0.5000)  6 Pt 2.64, 6 Cu 2.68
Pt (0.2509, 0.2509, 0.2472)  3 Ni 2.60, 3 Cu 2.64, 6 Pt 2.68
Pt (0.7491, 0.7491, 0.7528)  3 Ni 2.60, 3 Cu 2.64, 6 Pt 2.68

Calculated values
- spin magnetization (Bohr magnetons per cell) = 1.02
- final energy (Ry/atom) = -0.45463
- formation energy from the elements (eV/atom) = -0.081
- ρ (g/cm³) = 16.14

***

## Cu2NiPt (PBEsol)

Data for a relaxed structure of Cu2NiPt.

Cell: 2.6938 4.2478 4.2540 Å, 90.00 90.00 90.00°
Last column: nearest neighbours and their distance in Å.
Atoms (fractional coordinates):
Ni (0.5000, 0.0000, 0.5000)  4 Pt 2.51, 4 Cu 2.52, 2 Ni 2.69
Cu (0.0000, 0.0000, 0.0000)  6 Cu 2.51-2.69, 4 Ni 2.52
Cu (0.5000, 0.5000, 0.0000)  6 Cu 2.51-2.69, 4 Pt 2.52
Pt (0.0000, 0.5000, 0.5000)  4 Ni 2.51, 4 Cu 2.52, 2 Pt 2.69

Calculated values
- spin magnetization (Bohr magnetons per cell) = 0.00
- final energy (Ry/atom) = -0.40270
- formation energy from the elements (eV/atom) = -0.032
- ρ (g/cm³) = 12.99

***

## Cu2NiPt (PBEsol)

Data for a relaxed structure of Cu2NiPt.

Cell: 3.6342 3.6342 4.4659 Å, 114.01 114.01 90.00°
Last column: nearest neighbours and their distance in Å.
Atoms (fractional coordinates):
Ni (0.5000, 0.5000, 0.0000)  4 Pt 2.57, 8 Cu 2.58
Cu (0.7500, 0.2500, 0.5000)  4 Cu 2.57, 4 Ni 2.58, 4 Pt 2.58
Cu (0.2500, 0.7500, 0.5000)  4 Cu 2.57, 4 Ni 2.58, 4 Pt 2.58
Pt (0.0000, 0.0000, 0.0000)  4 Ni 2.57, 8 Cu 2.58

Calculated values
- spin magnetization (Bohr magnetons per cell) = 0.00
- final energy (Ry/atom) = -0.40435
- formation energy from the elements (eV/atom) = -0.054
- ρ (g/cm³) = 13.11

***

## CuNiPt2 (PBEsol)

Data for a relaxed structure of CuNiPt2.

Cell: 2.6866 4.4844 4.6616 Å, 99.95 90.00 107.43°
Last column: nearest neighbours and their distance in Å.
Atoms (fractional coordinates):
Ni (0.5000, 0.0000, 0.0000)  6 Pt 2.60-2.62, 2 Ni 2.69, 4 Cu 2.69
Cu (0.0000, 0.0000, 0.5000)  6 Pt 2.61-2.63, 2 Cu 2.69, 4 Ni 2.69
Pt (0.7515, 0.5031, 0.7522)  3 Ni 2.60-2.62, 3 Cu 2.61-2.63, 6 Pt 2.68-2.70
Pt (0.2485, 0.4969, 0.2478)  3 Ni 2.60-2.62, 3 Cu 2.61-2.63, 6 Pt 2.68-2.70

Calculated values
- spin magnetization (Bohr magnetons per cell) = 0.99
- final energy (Ry/atom) = -0.45423
- formation energy from the elements (eV/atom) = -0.075
- ρ (g/cm³) = 16.15

***

## Cu2NiPt (PBEsol)

Data for a relaxed structure of Cu2NiPt.

Cell: 2.6147 2.6147 8.4081 Å, 81.06 81.06 60.00°
Last column: nearest neighbours and their distance in Å.
Atoms (fractional coordinates):
Ni (0.5000, 0.5000, 0.5000)  6 Cu 2.46, 6 Ni 2.61
Cu (0.2452, 0.2452, 0.2645)  3 Ni 2.46, 6 Cu 2.61, 3 Pt 2.66
Cu (0.7548, 0.7548, 0.7355)  3 Ni 2.46, 6 Cu 2.61, 3 Pt 2.66
Pt (0.0000, 0.0000, 0.0000)  6 Pt 2.61, 6 Cu 2.66

Calculated values
- spin magnetization (Bohr magnetons per cell) = 0.09
- final energy (Ry/atom) = -0.40172
- formation energy from the elements (eV/atom) = -0.018
- ρ (g/cm³) = 12.91

***

## CuNiPt2 (PBEsol)

Data for a relaxed structure of CuNiPt2.

Cell: 2.7083 3.5467 5.4304 Å, 90.00 90.00 90.00°
Last column: nearest neighbours and their distance in Å.
Atoms (fractional coordinates):
Ni (0.5000, 0.5000, 0.5000)  8 Pt 2.60, 2 Ni 2.71, 2 Cu 2.72
Cu (0.5000, 0.5000, 0.0000)  8 Pt 2.62, 2 Cu 2.71, 2 Ni 2.72
Pt (0.0000, 0.0000, 0.7474)  4 Ni 2.60, 4 Cu 2.62, 4 Pt 2.69-2.74
Pt (0.0000, 0.0000, 0.2526)  4 Ni 2.60, 4 Cu 2.62, 4 Pt 2.69-2.74

Calculated values
- spin magnetization (Bohr magnetons per cell) = 1.35
- final energy (Ry/atom) = -0.45527
- formation energy from the elements (eV/atom) = -0.090
- ρ (g/cm³) = 16.31

***

## Cu2NiPt (PBEsol)

Data for a relaxed structure of Cu2NiPt.

Cell: 3.6652 3.6652 4.4295 Å, 114.44 114.44 90.00°
Last column: nearest neighbours and their distance in Å.
Atoms (fractional coordinates):
Ni (0.5000, 0.5000, 0.0000)  8 Cu 2.57-2.59, 4 Pt 2.57
Cu (0.0000, 0.0000, 0.0000)  4 Cu 2.57, 4 Pt 2.57, 4 Ni 2.59
Cu (0.7500, 0.2500, 0.5000)  4 Ni 2.57, 4 Cu 2.57, 4 Pt 2.59
Pt (0.2500, 0.7500, 0.5000)  4 Ni 2.57, 8 Cu 2.57-2.59

Calculated values
- spin magnetization (Bohr magnetons per cell) = 0.26
- final energy (Ry/atom) = -0.40486
- formation energy from the elements (eV/atom) = -0.061
- ρ (g/cm³) = 13.11

***

Which value of spin magnetization does entry 3 give? 0.61 Bohr magnetons per cell

***

The highest ρ belongs to which entry? number 11

***

What is the ρ in the fifth record? 13.19 g/cm³